No. 1
## AlAuF2 (PBE)

Data for a relaxed AlAuF2 crystal.

## Properties
Formation energy without anion corrections: -1.71 eV per atom
SG: Fd-3m (227)
DOS at the Fermi energy: 0.68 states/eV/f.u.
Energy above the lowest structure with this stoichiometry: 0.000 eV per atom
Volume: 16.3 Å³/atom

```
AlAuF2
1.0
0.000 4.022 4.022
4.022 0.000 4.022
4.022 4.022 0.000
Al Au F
2 2 4
direct
0.125 0.125 0.125
0.875 0.875 0.875
0.375 0.375 0.375
0.625 0.625 0.625
0.000 0.000 0.000
0.000 0.000 0.500
0.000 0.500 0.000
0.500 0.000 0.000
```

---

No. 2
## AlAu2F2 (PBE)

Data for a relaxed AlAu2F2 crystal.

## Properties
Formation energy without anion corrections: -0.64 eV per atom
SG: I4/mmm (139)
DOS at the Fermi energy: 1.56 states/eV/f.u.
Energy above the lowest structure with this stoichiometry: 0.000 eV per atom
Volume: 15.1 Å³/atom

```
AlAu2F2
1.0
3.584 0.000 0.000
0.000 3.584 0.000
0.000 0.000 11.760
Al Au F
2 4 4
direct
0.000 0.000 0.000
0.500 0.500 0.500
0.000 0.000 0.390
0.000 0.000 0.610
0.500 0.500 0.110
0.500 0.500 0.890
0.000 0.500 0.250
0.000 0.500 0.750
0.500 0.000 0.250
0.500 0.000 0.750
```

---

No. 3
## AlAu2F2 (PBE)

Data for a relaxed AlAu2F2 crystal.

## Properties
Formation energy without anion corrections: -0.41 eV per atom
SG: P4/mbm (127)
DOS at the Fermi energy: 0.93 states/eV/f.u.
Energy above the lowest structure with this stoichiometry: 0.231 eV per atom
Volume: 15.9 Å³/atom

```
AlAu2F2
1.0
7.505 0.000 0.000
0.000 7.505 0.000
0.000 0.000 2.825
Al Au F
2 4 4
direct
0.000 0.000 0.000
0.500 0.500 0.000
0.125 0.375 0.000
0.375 0.875 0.000
0.625 0.125 0.000
0.875 0.625 0.000
0.191 0.691 0.500
0.309 0.191 0.500
0.691 0.809 0.500
0.809 0.309 0.500
```

---

No. 4
## AlAuF (PBE)

Data for a relaxed AlAuF crystal.

## Properties
Formation energy without anion corrections: -1.44 eV per atom
SG: P-1 (2)
DOS at the Fermi energy: 0.60 states/eV/f.u.
Volume: 16.9 Å³/atom

```
AlAuF
1.0
3.095 0.000 0.000
1.528 5.152 0.000
0.010 0.441 6.345
Al Au F
2 2 2
direct
0.004 0.491 0.269
0.996 0.509 0.731
0.366 0.775 0.976
0.634 0.225 0.024
0.108 0.275 0.521
0.892 0.725 0.479
```

---

No. 5
## Al2GeAuF (PBE)

Data for a relaxed Al2GeAuF crystal.

## Properties
Formation energy without anion corrections: 0.00 eV per atom
SG: P4/mmm (123)
DOS at the Fermi energy: 2.13 states/eV/f.u.
Volume: 24.0 Å³/atom

```
Al2GeAuF
1.0
4.832 0.000 0.000
0.000 4.832 0.000
0.000 0.000 5.140
Al Ge Au F
2 1 1 1
direct
0.000 0.500 0.000
0.500 0.000 0.000
0.000 0.000 0.500
0.000 0.000 0.000
0.500 0.500 0.500
```

---

No. 6
## K2AlAuF6 (PBE)

Data for a relaxed K2AlAuF6 crystal.

## Properties
Formation energy without anion corrections: -2.61 eV per atom
SG: Fm-3m (225)
Volume: 16.0 Å³/atom

```
K2AlAuF6
1.0
0.000 4.307 4.307
4.307 0.000 4.307
4.307 4.307 0.000
K Al Au F
2 1 1 6
direct
0.250 0.250 0.250
0.750 0.750 0.750
0.000 0.000 0.000
0.500 0.500 0.500
0.213 0.213 0.787
0.213 0.787 0.213
0.213 0.787 0.787
0.787 0.213 0.213
0.787 0.213 0.787
0.787 0.787 0.213
```

---

Question: What is the formula in the sixth record?
Answer: K2AlAuF6